# 1
DFT (GGA-PBE) results for a relaxed YErNi2 crystal.

The value obtained for the theoretical density is 7.836 Mg/m³. The size of the total moment comes out at 0.00 μB/cell. The formation energy is -0.4671 eV per atom.

The structure belongs to space group Pmn2_1 (No. 31); the cell edges are 4.164, 7.033 and 5.406 Å and the angles 90.00°, 90.00° and 90.00°. The asymmetric unit holds Y at (0.000, 0.071, 0.000), Er at (0.000, 0.570, 0.761), Ni at (0.000, 0.213, 0.505) and Ni at (0.000, 0.711, 0.255).



# 2
DFT (GGA-PBE) results for a relaxed Y2ErNi9 crystal.

The value obtained for the theoretical density is 8.430 Mg/m³. The size of the total moment comes out at 2.11 μB/cell. The formation energy is -0.4086 eV per atom.

The structure belongs to space group R-3m (No. 166, hexagonal axes); the cell edges are 4.9449, 4.9449 and 24.3702 Å and the angles 90.00°, 90.00° and 120.00°. The asymmetric unit holds Y at (0.0000, 0.0000, 0.1388), Er at (0.0000, 0.0000, 0.0000), Ni at (0.0000, 0.0000, 0.3330), Ni at (0.0000, 0.0000, 0.5000) and Ni at (0.0006, 0.5003, 0.9184).



Please write out number 2 again, unchanged.
DFT (GGA-PBE) results for a relaxed Y2ErNi9 crystal.

The value obtained for the theoretical density is 8.430 Mg/m³. The size of the total moment comes out at 2.11 μB/cell. The formation energy is -0.4086 eV per atom.

The structure belongs to space group R-3m (No. 166, hexagonal axes); the cell edges are 4.9449, 4.9449 and 24.3702 Å and the angles 90.00°, 90.00° and 120.00°. The asymmetric unit holds Y at (0.0000, 0.0000, 0.1388), Er at (0.0000, 0.0000, 0.0000), Ni at (0.0000, 0.0000, 0.3330), Ni at (0.0000, 0.0000, 0.5000) and Ni at (0.0006, 0.5003, 0.9184).



> size of the total moment of number 1 (YErNi2)?

0.00 μB/cell